! Na5Cd2Pb2, relaxed, DFT PBE; values from VASP
&SYSTEM
  ibrav = 0, nat = 18, ntyp = 3
/
ATOMIC_SPECIES
Na 22.99 Na.upf
Cd 112.41 Cd.upf
Pb 207.20 Pb.upf
CELL_PARAMETERS angstrom
8.8765 -4.5739 0.0000
8.8765 4.5739 0.0000
0.0000 0.0000 6.6786
ATOMIC_POSITIONS crystal
Na 0.0000 0.0000 0.0000
Na 0.1020 0.6021 0.2497
Na 0.1021 0.6020 0.7497
Na 0.3979 0.8980 0.2497
Na 0.3980 0.8979 0.7497
Na 0.5000 0.5000 0.5000
Na 0.6020 0.1021 0.2503
Na 0.6021 0.1020 0.7503
Na 0.8979 0.3980 0.2503
Na 0.8980 0.3979 0.7503
Cd 0.1544 0.8456 0.4995
Cd 0.3456 0.6544 0.9995
Cd 0.6544 0.3456 0.0005
Cd 0.8456 0.1544 0.5005
Pb 0.2482 0.2482 0.5000
Pb 0.2518 0.2518 0.0000
Pb 0.7482 0.7482 0.0000
Pb 0.7518 0.7518 0.5000
! E_tot   -1.803 eV per atom
! Calculated formation energy   -0.39 eV per formula unit
! Excess energy over the best structure of this formula in the dataset   64 meV/atom

=====

! HoEr2Pu, relaxed, DFT PBE; values from VASP
&SYSTEM
  ibrav = 0, nat = 12, ntyp = 3
/
ATOMIC_SPECIES
Ho 164.93 Ho.upf
Er 167.26 Er.upf
Pu 244.00 Pu.upf
CELL_PARAMETERS angstrom
3.4146 0.0000 0.0000
-1.7073 2.9571 0.0000
0.0000 0.0000 36.3584
ATOMIC_POSITIONS crystal
Ho 0.0000 0.0000 0.0000
Ho 0.3333 0.6667 0.6667
Ho 0.6667 0.3333 0.3333
Er 0.0000 0.0000 0.4110
Er 0.0000 0.0000 0.5890
Er 0.3333 0.6667 0.0776
Er 0.3333 0.6667 0.2557
Er 0.6667 0.3333 0.7443
Er 0.6667 0.3333 0.9224
Pu 0.0000 0.0000 0.5000
Pu 0.3333 0.6667 0.1667
Pu 0.6667 0.3333 0.8333
! E_tot   -6.750 eV per atom
! Calculated formation energy   1.03 eV per formula unit
! Excess energy over the best structure of this formula in the dataset   172 meV/atom

=====

! La2Tb6Ho, relaxed, DFT PBE; values from VASP
&SYSTEM
  ibrav = 0, nat = 18, ntyp = 3
/
ATOMIC_SPECIES
La 138.91 La.upf
Tb 158.93 Tb.upf
Ho 164.93 Ho.upf
CELL_PARAMETERS angstrom
5.3885 -8.8664 0.0000
5.3885 8.8664 0.0000
-0.5136 0.0000 6.2166
ATOMIC_POSITIONS crystal
La 0.1454 0.3549 0.9996
La 0.3549 0.1454 0.4996
La 0.6451 0.8546 0.5004
La 0.8546 0.6451 0.0004
Tb 0.0145 0.1642 0.4981
Tb 0.0971 0.5973 0.7125
Tb 0.1642 0.0145 0.9981
Tb 0.3357 0.4858 0.5012
Tb 0.4027 0.9029 0.7875
Tb 0.4858 0.3357 0.0012
Tb 0.5142 0.6643 0.9988
Tb 0.5973 0.0971 0.2125
Tb 0.6643 0.5142 0.4988
Tb 0.8358 0.9855 0.0019
Tb 0.9029 0.4027 0.2875
Tb 0.9855 0.8358 0.5019
Ho 0.2499 0.7501 0.2500
Ho 0.7501 0.2499 0.7500
! E_tot   -4.585 eV per atom
! Calculated formation energy   0.95 eV per formula unit
! Excess energy over the best structure of this formula in the dataset   42 meV/atom

=====

! RbTaReMo2, relaxed, DFT PBE; values from VASP
&SYSTEM
  ibrav = 0, nat = 5, ntyp = 4
/
ATOMIC_SPECIES
Rb 85.47 Rb.upf
Ta 180.95 Ta.upf
Re 186.21 Re.upf
Mo 95.94 Mo.upf
CELL_PARAMETERS angstrom
4.9657 0.0000 0.0000
0.0000 4.9657 0.0000
0.0000 0.0000 4.9524
ATOMIC_POSITIONS crystal
Rb 0.0000 0.0000 0.0000
Ta 0.5000 0.5000 0.5000
Re 0.5000 0.5000 0.0000
Mo 0.0000 0.5000 0.5000
Mo 0.5000 0.0000 0.5000
! E_tot   -7.242 eV per atom
! Calculated formation energy   10.72 eV per formula unit

=====

! TiP2HO, relaxed, DFT PBE; values from VASP
&SYSTEM
  ibrav = 0, nat = 5, ntyp = 4
/
ATOMIC_SPECIES
Ti 47.87 Ti.upf
P 30.97 P.upf
H 1.01 H.upf
O 16.00 O.upf
CELL_PARAMETERS angstrom
4.8663 0.0000 0.0000
0.0000 4.8663 0.0000
0.0000 0.0000 3.7177
ATOMIC_POSITIONS crystal
Ti 0.0000 0.0000 0.0000
P 0.0000 0.5000 0.0000
P 0.5000 0.0000 0.0000
H 0.5000 0.5000 0.5000
O 0.0000 0.0000 0.5000
! E_tot   -5.235 eV per atom
! Excess energy over the best structure of this formula in the dataset   335 meV/atom

=====

! HgRhSeBr2, relaxed, DFT PBE; values from VASP
&SYSTEM
  ibrav = 0, nat = 5, ntyp = 4
/
ATOMIC_SPECIES
Hg 200.59 Hg.upf
Rh 102.91 Rh.upf
Se 78.96 Se.upf
Br 79.90 Br.upf
CELL_PARAMETERS angstrom
5.2633 0.0000 0.0000
0.0000 5.2633 0.0000
0.0000 0.0000 4.7373
ATOMIC_POSITIONS crystal
Hg 0.0000 0.0000 0.0000
Rh 0.5000 0.5000 0.5000
Se 0.5000 0.5000 0.0000
Br 0.0000 0.5000 0.5000
Br 0.5000 0.0000 0.5000
! E_form (uncorrected)   27 kJ/mol of formula units
! E_tot   -2.840 eV per atom
! Excess energy over the best structure of this formula in the dataset   0 meV/atom

=====

! KH8O4F, relaxed, DFT PBE; values from VASP
&SYSTEM
  ibrav = 0, nat = 56, ntyp = 4
/
ATOMIC_SPECIES
K 39.10 K.upf
H 1.01 H.upf
O 16.00 O.upf
F 19.00 F.upf
CELL_PARAMETERS angstrom
6.8159 0.0000 0.0000
0.0000 13.3172 0.0000
-0.0615 0.0000 6.6723
ATOMIC_POSITIONS crystal
K 0.1702 0.1294 0.4970
K 0.1702 0.3706 0.9970
K 0.8298 0.6294 0.0030
K 0.8298 0.8706 0.5030
H 0.0838 0.6612 0.4367
H 0.0838 0.8388 0.9367
H 0.1360 0.1316 0.0206
H 0.1360 0.3684 0.5206
H 0.2465 0.5893 0.7475
H 0.2465 0.9107 0.2475
H 0.2984 0.6091 0.9732
H 0.2984 0.8909 0.4732
H 0.3051 0.5069 0.4164
H 0.3051 0.9931 0.9164
H 0.3997 0.7474 0.5985
H 0.3997 0.7526 0.0985
H 0.4065 0.6685 0.2678
H 0.4065 0.8315 0.7678
H 0.4361 0.0897 0.9174
H 0.4361 0.4103 0.4174
H 0.5639 0.5897 0.5826
H 0.5639 0.9103 0.0826
H 0.5935 0.1685 0.2322
H 0.5935 0.3315 0.7322
H 0.6003 0.2474 0.9015
H 0.6003 0.2526 0.4015
H 0.6949 0.0069 0.0836
H 0.6949 0.4931 0.5836
H 0.7016 0.1091 0.5268
H 0.7016 0.3909 0.0268
H 0.7535 0.0893 0.7525
H 0.7535 0.4107 0.2525
H 0.8640 0.6316 0.4794
H 0.8640 0.8684 0.9794
H 0.9162 0.1612 0.0633
H 0.9162 0.3388 0.5633
O 0.0523 0.1754 0.1054
O 0.0523 0.3246 0.6054
O 0.2073 0.5707 0.8842
O 0.2073 0.9293 0.3842
O 0.3045 0.0647 0.8773
O 0.3045 0.4353 0.3773
O 0.4478 0.6841 0.1292
O 0.4478 0.8159 0.6292
O 0.5522 0.1841 0.3708
O 0.5522 0.3159 0.8708
O 0.6955 0.5647 0.6227
O 0.6955 0.9353 0.1227
O 0.7927 0.0707 0.6158
O 0.7927 0.4293 0.1158
O 0.9477 0.6754 0.3946
O 0.9477 0.8246 0.8946
F 0.3346 0.6304 0.5045
F 0.3346 0.8696 0.0045
F 0.6654 0.1304 0.9955
F 0.6654 0.3696 0.4955
! E_tot   -4.847 eV per atom

=====

! ZrTiCrNi, relaxed, DFT PBE; values from VASP
&SYSTEM
  ibrav = 0, nat = 16, ntyp = 4
/
ATOMIC_SPECIES
Zr 91.22 Zr.upf
Ti 47.87 Ti.upf
Cr 52.00 Cr.upf
Ni 58.69 Ni.upf
CELL_PARAMETERS angstrom
6.2345 0.0000 0.0000
0.0000 6.2345 0.0000
0.0000 0.0000 6.2345
ATOMIC_POSITIONS crystal
Zr 0.0000 0.0000 0.0000
Zr 0.0000 0.5000 0.5000
Zr 0.5000 0.0000 0.5000
Zr 0.5000 0.5000 0.0000
Ti 0.0000 0.0000 0.5000
Ti 0.0000 0.5000 0.0000
Ti 0.5000 0.0000 0.0000
Ti 0.5000 0.5000 0.5000
Cr 0.2500 0.2500 0.2500
Cr 0.2500 0.7500 0.7500
Cr 0.7500 0.2500 0.7500
Cr 0.7500 0.7500 0.2500
Ni 0.2500 0.2500 0.7500
Ni 0.2500 0.7500 0.2500
Ni 0.7500 0.2500 0.2500
Ni 0.7500 0.7500 0.7500
! E_tot   -8.048 eV per atom
! Calculated formation energy   -0.34 eV per formula unit